Entry 1:
Ir2WBr: relaxed, PBE.

Calculated values
For the uncorrected formation energy, the calculation gives 505 meV/atom. As for the density of states at the Fermi level: 1.08 states/eV/atom. The calculation puts the energy relative to the lowest polymorph listed for this composition at 253 meV/atom.

Unit cell a=8.972 b=2.947 c=6.618 alpha=90.00 beta=98.52 gamma=90.00
Space group Cm (No. 8)
Asymmetric unit:
1 Ir 0.000 0.000 0.000
2 Ir 0.232 0.500 0.176
3 W 0.274 0.000 0.871
4 Br 0.167 0.500 0.556

Entry 2:
NdHoThIn: relaxed, PBE.

Calculated values
The value obtained for the total energy is -4.9091 eV per atom. As for the density of states at the Fermi level: 1.65 states/eV/atom.

Unit cell a=7.793 b=7.793 c=7.793 alpha=90.00 beta=90.00 gamma=90.00
Space group F-43m (No. 216)
Asymmetric unit:
1 Nd 0.000 0.000 0.000
2 Ho 0.000 0.000 0.500
3 Th 0.250 0.250 0.750
4 In 0.250 0.250 0.250

Entry 3:
La4NiGe3: relaxed, PBE.

Calculated values
The value obtained for the total energy is -5.6113 eV per atom. As for the density of states at the Fermi level: 1.15 states/eV/atom.

Unit cell a=4.216 b=4.454 c=11.213 alpha=90.00 beta=90.00 gamma=90.00
Space group Pmm2 (No. 25)
Asymmetric unit:
1 La 0.000 0.000 0.000
2 La 0.000 0.500 0.485
3 La 0.500 0.000 0.712
4 La 0.500 0.500 0.218
5 Ni 0.000 0.000 0.295
6 Ge 0.000 0.500 0.776
7 Ge 0.500 0.000 0.418
8 Ge 0.500 0.500 0.932

Entry 4:
GaBPt3: relaxed, PBE.

Calculated values
As for the density of states at the Fermi level: 0.87 states/eV/atom. The calculation puts the energy relative to the lowest polymorph listed for this composition at 1893 meV/atom.

Unit cell a=4.649 b=4.649 c=4.649 alpha=90.00 beta=90.00 gamma=90.00
Space group Pm-3m (No. 221)
Asymmetric unit:
1 Ga 0.000 0.000 0.000
2 B 0.500 0.500 0.500
3 Pt 0.000 0.000 0.500

Entry 5:
LiTaCu2F: relaxed, PBE.

Calculated values
For the uncorrected formation energy, the calculation gives 840 meV/atom. As for the density of states at the Fermi level: 0.75 states/eV/atom.

Unit cell a=3.885 b=3.885 c=4.778 alpha=90.00 beta=90.00 gamma=90.00
Space group P4/mmm (No. 123)
Asymmetric unit:
1 Li 0.000 0.000 0.000
2 Ta 0.000 0.000 0.500
3 Cu 0.000 0.500 0.000
4 F 0.500 0.500 0.500

Entry 6:
TaZnAg: relaxed, PBE.

Calculated values
As for the density of states at the Fermi level: 0.68 states/eV/atom. The calculation puts the energy relative to the lowest polymorph listed for this composition at 0 meV/atom.

Unit cell a=2.884 b=2.884 c=11.962 alpha=90.00 beta=90.00 gamma=90.00
Space group I4mm (No. 107)
Asymmetric unit:
1 Ta 0.000 0.000 0.000
2 Zn 0.000 0.000 0.340
3 Ag 0.000 0.000 0.682

Entry 7:
GeH2S3: relaxed, PBE.

Calculated values
The value obtained for the total energy is -4.1724 eV per atom.

Unit cell a=3.586 b=11.289 c=6.132 alpha=90.00 beta=90.00 gamma=90.00
Space group Imm2 (No. 44)
Asymmetric unit:
1 Ge 0.000 0.000 0.000
2 H 0.000 0.234 0.944
3 S 0.000 0.155 0.777
4 S 0.000 0.500 0.733

Entry 8:
BaSc2AsO2: relaxed, PBE.

Calculated values
For the uncorrected formation energy, the calculation gives -2167 meV/atom. As for the density of states at the Fermi level: 0.48 states/eV/atom.

Unit cell a=7.560 b=6.048 c=7.573 alpha=90.00 beta=112.34 gamma=90.00
Space group P2_1/m (No. 11)
Asymmetric unit:
1 Ba 0.181 0.250 0.255
2 Sc 0.383 0.003 0.775
3 As 0.288 0.750 0.038
4 O 0.235 0.250 0.614
5 O 0.440 0.750 0.642

Entry 9:
KCa2Te: relaxed, PBE.

Calculated values
For the uncorrected formation energy, the calculation gives -394 meV/atom. As for the density of states at the Fermi level: 0.64 states/eV/atom.

Unit cell a=4.912 b=4.912 c=12.255 alpha=90.00 beta=90.00 gamma=90.00
Space group I-4m2 (No. 119)
Asymmetric unit:
1 K 0.000 0.000 0.000
2 Ca 0.000 0.000 0.500
3 Ca 0.000 0.500 0.250
4 Te 0.000 0.500 0.750

Entry 10:
Ce3Zn2Au6: relaxed, PBE.

Calculated values
The value obtained for the total energy is -4.1298 eV per atom. As for the density of states at the Fermi level: 2.18 states/eV/atom.

Unit cell a=4.438 b=4.438 c=25.101 alpha=90.00 beta=90.00 gamma=90.00
Space group I4/mmm (No. 139)
Asymmetric unit:
1 Ce 0.000 0.000 0.000
2 Ce 0.000 0.000 0.197
3 Zn 0.000 0.000 0.452
4 Au 0.000 0.000 0.317
5 Au 0.000 0.500 0.103

Entry 11:
LiSn6Ir: relaxed, PBE.

Calculated values
The value obtained for the total energy is -4.4132 eV per atom. As for the density of states at the Fermi level: 0.51 states/eV/atom.

Unit cell a=7.386 b=10.211 c=5.989 alpha=90.00 beta=116.00 gamma=90.00
Space group C2/m (No. 12)
Asymmetric unit:
1 Li 0.000 0.000 0.000
2 Sn 0.057 0.223 0.780
3 Sn 0.098 0.500 0.308
4 Ir 0.000 0.000 0.500

Entry 12:
Ce2CuPb: relaxed, PBE.

Calculated values
The value obtained for the total energy is -5.0713 eV per atom. As for the density of states at the Fermi level: 2.24 states/eV/atom.

Unit cell a=4.525 b=4.525 c=4.708 alpha=90.00 beta=90.00 gamma=90.00
Space group P4/mmm (No. 123)
Asymmetric unit:
1 Ce 0.000 0.500 0.000
2 Cu 0.000 0.000 0.500
3 Pb 0.500 0.500 0.500